(1)
{"formula": "Dy2SbI", "functional": "GGA-PBE", "state": "optimized geometry", "lattice_angstrom": [[2.122, 1.225, 7.798], [-2.122, 1.225, 7.798], [0.000, -2.450, 7.798]], "species": ["Dy", "Dy", "Sb", "I"], "fractional_positions": [[0.000, 0.000, 0.000], [0.188, 0.188, 0.188], [0.595, 0.595, 0.595], [0.426, 0.426, 0.426]], "total_magnetization_mub_per_fu": 0.00, "raw_formation_energy_mev_per_atom": -910, "total_energy_ev_per_atom": -4.6296}

(2)
{"formula": "Ba2CaGa2CuF14", "functional": "GGA-PBE", "state": "optimized geometry", "lattice_angstrom": [[7.024, -2.709, 0.000], [7.024, 2.709, 0.000], [-0.433, 0.000, 14.977]], "species": ["Ba", "Ba", "Ba", "Ba", "Ca", "Ca", "Ga", "Ga", "Ga", "Ga", "Cu", "Cu", "F", "F", "F", "F", "F", "F", "F", "F", "F", "F", "F", "F", "F", "F", "F", "F", "F", "F", "F", "F", "F", "F", "F", "F", "F", "F", "F", "F"], "fractional_positions": [[0.112, 0.264, 0.123], [0.264, 0.112, 0.623], [0.736, 0.888, 0.377], [0.888, 0.736, 0.877], [0.413, 0.587, 0.250], [0.587, 0.413, 0.750], [0.091, 0.152, 0.375], [0.152, 0.091, 0.875], [0.848, 0.909, 0.125], [0.909, 0.848, 0.625], [0.500, 0.500, 0.000], [0.500, 0.500, 0.500], [0.036, 0.649, 0.222], [0.062, 0.927, 0.347], [0.073, 0.938, 0.153], [0.111, 0.608, 0.046], [0.130, 0.697, 0.520], [0.150, 0.353, 0.399], [0.179, 0.585, 0.709], [0.303, 0.870, 0.980], [0.351, 0.964, 0.278], [0.353, 0.150, 0.899], [0.390, 0.502, 0.885], [0.392, 0.889, 0.454], [0.415, 0.821, 0.791], [0.498, 0.610, 0.615], [0.502, 0.390, 0.385], [0.585, 0.179, 0.209], [0.608, 0.111, 0.546], [0.610, 0.498, 0.115], [0.647, 0.850, 0.101], [0.649, 0.036, 0.722], [0.697, 0.130, 0.020], [0.821, 0.415, 0.291], [0.850, 0.647, 0.601], [0.870, 0.303, 0.480], [0.889, 0.392, 0.954], [0.927, 0.062, 0.847], [0.938, 0.073, 0.653], [0.964, 0.351, 0.778]], "total_magnetization_mub_per_fu": 1.00, "raw_formation_energy_mev_per_atom": -3083, "total_energy_ev_per_atom": -5.1928}

(3)
{"formula": "Hf2VMo", "functional": "GGA-PBE", "state": "optimized geometry", "lattice_angstrom": [[-3.647, 3.647, 2.853], [3.647, -3.647, 2.853], [3.647, 3.647, -2.853]], "species": ["Hf", "Hf", "Hf", "Hf", "V", "V", "Mo", "Mo"], "fractional_positions": [[0.123, 0.125, 0.498], [0.375, 0.877, 0.002], [0.627, 0.625, 0.502], [0.875, 0.373, 0.998], [0.000, 0.000, 0.000], [0.750, 0.250, 0.500], [0.250, 0.750, 0.500], [0.500, 0.500, 0.000]], "total_magnetization_mub_per_fu": 0.58, "de_polymorph_mev_per_atom": 635.6, "ef_ev_per_atom": 0.67, "total_energy_ev_per_atom": -9.2971}